(1)
# Ca3TiAu PBE-GGA optimized geometry
data_Ca3TiAu
_chemical_formula_sum 'Ca3 Ti1 Au1'
_cell_length_a 5.6024
_cell_length_b 5.6024
_cell_length_c 5.6024
_cell_angle_alpha 90.00
_cell_angle_beta 90.00
_cell_angle_gamma 90.00
_space_group_name_H-M_alt 'P m -3 m'
_space_group_IT_number 221
_space_group_name_Hall '-P 4 2 3'
loop_
_atom_site_label
_atom_site_type_symbol
_atom_site_fract_x
_atom_site_fract_y
_atom_site_fract_z
_atom_site_occupancy
Ca1 Ca 0.0000 0.0000 0.5000 1
Ti1 Ti 0.5000 0.5000 0.5000 1
Au1 Au 0.0000 0.0000 0.0000 1
# DFT formation energy: 0.318 eV per atom


(2)
# HoErGe PBE-GGA optimized geometry
data_HoErGe
_chemical_formula_sum 'Ho4 Er4 Ge4'
_cell_length_a 4.2111
_cell_length_b 11.4470
_cell_length_c 6.3888
_cell_angle_alpha 90.00
_cell_angle_beta 90.00
_cell_angle_gamma 90.00
_space_group_name_H-M_alt 'C m c m'
_space_group_IT_number 63
_space_group_name_Hall '-C 2c 2'
loop_
_atom_site_label
_atom_site_type_symbol
_atom_site_fract_x
_atom_site_fract_y
_atom_site_fract_z
_atom_site_occupancy
Ho1 Ho 0.0000 0.2065 0.2500 1
Er1 Er 0.0000 0.5000 0.0000 1
Ge1 Ge 0.0000 0.1139 0.7500 1
# DFT formation energy: -0.646 eV per atom


(3)
# MnZnCu2 PBE-GGA optimized geometry
data_MnZnCu2
_chemical_formula_sum 'Mn2 Zn2 Cu4'
_cell_length_a 8.6883
_cell_length_b 2.6503
_cell_length_c 4.5583
_cell_angle_alpha 90.00
_cell_angle_beta 99.81
_cell_angle_gamma 90.00
_space_group_name_H-M_alt 'C 1 2/m 1'
_space_group_IT_number 12
loop_
_space_group_symop_operation_xyz
'x,y,z'
'-x,-y,-z'
'-x,y,-z'
'x,-y,z'
'x+1/2,y+1/2,z'
'-x+1/2,-y+1/2,-z'
'-x+1/2,y+1/2,-z'
'x+1/2,-y+1/2,z'
loop_
_atom_site_label
_atom_site_type_symbol
_atom_site_fract_x
_atom_site_fract_y
_atom_site_fract_z
_atom_site_occupancy
Mn1 Mn 0.0000 0.0000 0.0000 1
Zn1 Zn 0.0000 0.5000 0.5000 1
Cu1 Cu 0.2496 0.0000 0.7532 1
# DFT formation energy: 0.062 eV per atom


(4)
# TiPb2O4 PBE-GGA optimized geometry
data_TiPb2O4
_chemical_formula_sum 'Ti2 Pb4 O8'
_cell_length_a 6.7271
_cell_length_b 9.6631
_cell_length_c 3.2186
_cell_angle_alpha 90.00
_cell_angle_beta 90.00
_cell_angle_gamma 90.00
_space_group_name_H-M_alt 'P b a m'
_space_group_IT_number 55
loop_
_space_group_symop_operation_xyz
'x,y,z'
'-x,-y,-z'
'-x,-y,z'
'x,y,-z'
'x+1/2,-y+1/2,-z'
'-x+1/2,y+1/2,z'
'-x+1/2,y+1/2,-z'
'x+1/2,-y+1/2,z'
loop_
_atom_site_label
_atom_site_type_symbol
_atom_site_fract_x
_atom_site_fract_y
_atom_site_fract_z
_atom_site_occupancy
Ti1 Ti 0.0000 0.0000 0.0000 1
Pb1 Pb 0.0491 0.3101 0.5000 1
O1 O 0.1449 0.8231 0.0000 1
O2 O 0.1587 0.0747 0.5000 1
# Uncorrected formation energy: -1849 meV/atom


(5)
# MnP2IrS PBE-GGA optimized geometry
data_MnP2IrS
_chemical_formula_sum 'Mn1 P2 Ir1 S1'
_cell_length_a 4.4687
_cell_length_b 4.4687
_cell_length_c 4.9719
_cell_angle_alpha 90.00
_cell_angle_beta 90.00
_cell_angle_gamma 90.00
_space_group_name_H-M_alt 'P 4/m m m'
_space_group_IT_number 123
_space_group_name_Hall '-P 4 2'
loop_
_atom_site_label
_atom_site_type_symbol
_atom_site_fract_x
_atom_site_fract_y
_atom_site_fract_z
_atom_site_occupancy
Mn1 Mn 0.0000 0.0000 0.0000 1
P1 P 0.0000 0.5000 0.5000 1
Ir1 Ir 0.5000 0.5000 0.5000 1
S1 S 0.5000 0.5000 0.0000 1
# Uncorrected formation energy: 1244 meV/atom


(6)
# YCo2TeSe PBE-GGA optimized geometry
data_YCo2TeSe
_chemical_formula_sum 'Y1 Co2 Te1 Se1'
_cell_length_a 4.6141
_cell_length_b 4.6141
_cell_length_c 5.9675
_cell_angle_alpha 90.00
_cell_angle_beta 90.00
_cell_angle_gamma 90.00
_space_group_name_H-M_alt 'P 4/m m m'
_space_group_IT_number 123
_space_group_name_Hall '-P 4 2'
loop_
_atom_site_label
_atom_site_type_symbol
_atom_site_fract_x
_atom_site_fract_y
_atom_site_fract_z
_atom_site_occupancy
Y1 Y 0.0000 0.0000 0.0000 1
Co1 Co 0.0000 0.5000 0.5000 1
Te1 Te 0.0000 0.0000 0.5000 1
Se1 Se 0.5000 0.5000 0.0000 1
# Uncorrected formation energy: 264 meV/atom


(7)
# Ac2Pm12Tm5 PBE-GGA optimized geometry
data_Ac2Pm12Tm5
_chemical_formula_sum 'Ac4 Pm24 Tm10'
_cell_length_a 18.0557
_cell_length_b 11.6949
_cell_length_c 6.3118
_cell_angle_alpha 90.00
_cell_angle_beta 100.62
_cell_angle_gamma 90.00
_space_group_name_H-M_alt 'C 1 2/m 1'
_space_group_IT_number 12
loop_
_space_group_symop_operation_xyz
'x,y,z'
'-x,-y,-z'
'-x,y,-z'
'x,-y,z'
'x+1/2,y+1/2,z'
'-x+1/2,-y+1/2,-z'
'-x+1/2,y+1/2,-z'
'x+1/2,-y+1/2,z'
loop_
_atom_site_label
_atom_site_type_symbol
_atom_site_fract_x
_atom_site_fract_y
_atom_site_fract_z
_atom_site_occupancy
Ac1 Ac 0.0000 0.2059 0.0000 1
Pm1 Pm 0.0842 0.0000 0.3777 1
Pm2 Pm 0.1032 0.2672 0.6138 1
Pm3 Pm 0.1047 0.5000 0.0249 1
Pm4 Pm 0.2068 0.2589 0.2180 1
Tm1 Tm 0.0000 0.5000 0.5000 1
Tm2 Tm 0.1774 0.0000 0.8984 1
Tm3 Tm 0.2174 0.5000 0.5614 1
# DFT formation energy: 0.117 eV per atom


(8)
# Tm4AuS5 PBE-GGA optimized geometry
data_Tm4AuS5
_chemical_formula_sum 'Tm8 Au2 S10'
_cell_length_a 16.9446
_cell_length_b 3.8441
_cell_length_c 8.5068
_cell_angle_alpha 90.00
_cell_angle_beta 107.38
_cell_angle_gamma 90.00
_space_group_name_H-M_alt 'C 1 2/m 1'
_space_group_IT_number 12
loop_
_space_group_symop_operation_xyz
'x,y,z'
'-x,-y,-z'
'-x,y,-z'
'x,-y,z'
'x+1/2,y+1/2,z'
'-x+1/2,-y+1/2,-z'
'-x+1/2,y+1/2,-z'
'x+1/2,-y+1/2,z'
loop_
_atom_site_label
_atom_site_type_symbol
_atom_site_fract_x
_atom_site_fract_y
_atom_site_fract_z
_atom_site_occupancy
Tm1 Tm 0.0040 0.0000 0.2807 1
Tm2 Tm 0.1846 0.5000 0.1191 1
Au1 Au 0.0000 0.5000 0.0000 1
S1 S 0.0000 0.5000 0.5000 1
S2 S 0.1595 0.0000 0.8776 1
S3 S 0.1608 0.0000 0.3104 1
# Uncorrected formation energy: -1685 meV/atom


no.,final energy (eV/cell)
1,-15.59
2,-62.79
3,-36.77
4,-96.18
5,-26.76
6,-25.98
7,-170.73
8,-117.30